SmZn9Ag2 | GGA-PBE | optimized geometry

abc: 5.2531 5.2531 8.8641
angles: 72.76 72.76 60.00
Element x y z (fractional)
Zn1 0.9193 0.4102 0.2603
Zn2 0.4102 0.4102 0.2603
Zn3 0.4102 0.9193 0.2603
Zn4 0.6663 0.6663 0.0011
Zn5 0.5000 0.5000 0.5000
Zn6 0.0807 0.5898 0.7397
Zn7 0.5898 0.0807 0.7397
Zn8 0.3337 0.3337 0.9989
Zn9 0.5898 0.5898 0.7397
Sm1 0.0000 0.0000 0.0000
Ag1 0.8622 0.8622 0.4135
Ag2 0.1378 0.1378 0.5865

DOS at the Fermi energy	3.7	states/eV per cell
symmetry	R-3m
DFT total energy	-1.965	eV per atom
formation energy	-0.141	eV per atom